No. 1
First-principles (GGA-PBE) data for a relaxed structure of BaCd2Sn3, as listed in Alexandria via LeMat-Bulk.

Cell: 4.971 4.971 15.230 Å, 99.39 99.39 90.00°
Atoms (fractional coordinates):
Ba  0.853  0.853  0.706
Ba  0.147  0.147  0.294
Cd  0.250  0.750  0.500
Cd  0.750  0.250  0.500
Cd  0.399  0.399  0.798
Cd  0.601  0.601  0.202
Sn  0.451  0.951  0.903
Sn  0.951  0.451  0.903
Sn  0.549  0.049  0.097
Sn  0.304  0.304  0.609
Sn  0.696  0.696  0.391
Sn  0.049  0.549  0.097

Its energy of formation from the pure elements is -0.287 eV per atom. For the energy above the lowest structure with this stoichiometry, the calculation gives 0.00 eV/f.u. As for the size of the total moment: 0.00 μB/cell. Its space-group type is No. 139.

=====

No. 2
First-principles (GGA-PBE) data for a relaxed structure of Ba3Cd4Sn4, as listed in Alexandria via LeMat-Bulk.

Cell: 5.266 7.794 9.606 Å, 113.93 105.91 90.00°
Atoms (fractional coordinates):
Ba  0.128  0.128  0.255
Ba  0.872  0.872  0.745
Ba  0.000  0.500  0.000
Cd  0.334  0.142  0.668
Cd  0.666  0.474  0.332
Cd  0.666  0.858  0.332
Cd  0.334  0.526  0.668
Sn  0.218  0.718  0.436
Sn  0.782  0.282  0.564
Sn  0.500  0.813  0.000
Sn  0.500  0.187  0.000

Its energy of formation from the pure elements is -0.486 eV per atom. For the energy above the lowest structure with this stoichiometry, the calculation gives 0.00 eV/f.u. As for the size of the total moment: 0.00 μB/cell. Its space-group type is No. 71.

=====

No. 3
First-principles (GGA-PBE) data for a relaxed structure of BaCd6Sn4, as listed in Alexandria via LeMat-Bulk.

Cell: 7.688 7.688 7.688 Å, 96.29 116.44 116.44°
Atoms (fractional coordinates):
Ba  0.000  0.000  0.000
Cd  0.000  0.795  0.520
Cd  0.000  0.520  0.795
Cd  0.725  0.205  0.205
Cd  0.500  0.000  0.500
Cd  0.275  0.480  0.480
Cd  0.500  0.500  0.000
Sn  0.000  0.163  0.597
Sn  0.566  0.403  0.403
Sn  0.000  0.597  0.163
Sn  0.434  0.837  0.837

Its energy of formation from the pure elements is -0.043 eV per atom. As for the size of the total moment: 0.00 μB/cell. Its space-group type is No. 121.

=====

Question: What is the size of the total moment in the first record?
Answer: 0.00 μB/cell

=====

Question: energy of formation from the pure elements of number 2 (Ba3Cd4Sn4)?
Answer: -0.486 eV per atom

=====

Please write out number 1 again, unchanged.
First-principles (GGA-PBE) data for a relaxed structure of BaCd2Sn3, as listed in Alexandria via LeMat-Bulk.

Cell: 4.971 4.971 15.230 Å, 99.39 99.39 90.00°
Atoms (fractional coordinates):
Ba  0.853  0.853  0.706
Ba  0.147  0.147  0.294
Cd  0.250  0.750  0.500
Cd  0.750  0.250  0.500
Cd  0.399  0.399  0.798
Cd  0.601  0.601  0.202
Sn  0.451  0.951  0.903
Sn  0.951  0.451  0.903
Sn  0.549  0.049  0.097
Sn  0.304  0.304  0.609
Sn  0.696  0.696  0.391
Sn  0.049  0.549  0.097

Its energy of formation from the pure elements is -0.287 eV per atom. For the energy above the lowest structure with this stoichiometry, the calculation gives 0.00 eV/f.u. As for the size of the total moment: 0.00 μB/cell. Its space-group type is No. 139.

=====

Question: The highest energy of formation from the pure elements belongs to which entry?
Answer: BaCd6Sn4